This record from Alexandria describes a relaxed structure of TbDy4Pd15. The functional is PBE-GGA.

Computed properties:
VASP energy   -5.93 eV per atom
DOS at the Fermi energy   12.51 states/eV/cell
Formation enthalpy at 0 K   -0.879 eV per atom
Space group   P4/mmm, No. 123

Unit cell a=4.1146 b=4.1146 c=20.7310 alpha=90.00 beta=90.00 gamma=90.00
Atoms (fractional coordinates):
Tb 0.0000 0.0000 0.0000
Dy 0.0000 0.0000 0.2004
Dy 0.0000 0.0000 0.4001
Dy 0.0000 0.0000 0.5999
Dy 0.0000 0.0000 0.7996
Pd 0.5000 0.5000 0.0000
Pd 0.5000 0.5000 0.2003
Pd 0.5000 0.5000 0.4002
Pd 0.5000 0.5000 0.5998
Pd 0.5000 0.5000 0.7997
Pd 0.5000 0.0000 0.1005
Pd 0.5000 0.0000 0.3003
Pd 0.5000 0.0000 0.5000
Pd 0.5000 0.0000 0.6997
Pd 0.5000 0.0000 0.8995
Pd 0.0000 0.5000 0.1005
Pd 0.0000 0.5000 0.3003
Pd 0.0000 0.5000 0.5000
Pd 0.0000 0.5000 0.6997
Pd 0.0000 0.5000 0.8995